# NiPd3C

NiPd3C after structural relaxation (PBE, Alexandria via LeMat-Bulk).

Cell: 4.539 4.539 4.539 Å, 90.00 90.00 90.00°
Space group Pm-3m (No. 221)
Symmetry-distinct sites (fractional):
Ni: 0.000 0.000 0.000 x1
Pd: 0.000 0.000 0.500 x3
C: 0.500 0.500 0.500 x1

***

# NdSm5Er12

NdSm5Er12 after structural relaxation (PBE, Alexandria via LeMat-Bulk).

Cell: 11.276 17.246 5.911 Å, 90.00 90.00 90.00°
Space group C2/m (No. 12)
Symmetry-distinct sites (fractional):
Nd: 0.000 0.000 0.000 x2
Sm: 0.000 0.167 0.500 x4
Sm: 0.000 0.333 0.000 x4
Sm: 0.000 0.500 0.500 x2
Er: 0.175 0.500 0.950 x4
Er: 0.177 0.000 0.550 x4
Er: 0.177 0.333 0.552 x8
Er: 0.178 0.167 0.948 x8

***

Number 1: formation energy from the elements 2.105 eV/atom. Number 2: formation energy from the elements 0.106 eV/atom.